## CeAlZn6Au (PBE-GGA)

Data for a geometry-optimized CeAlZn6Au structure.

Cell lengths 8.880, 8.880, 8.880 Å; angles 145.11, 111.26, 79.46 degrees
Fractional positions:
Ce 0.450 0.200 0.250
Ce 0.550 0.800 0.750
Al 0.000 0.000 0.500
Al 0.000 0.500 0.000
Zn 0.132 0.398 0.219
Zn 0.132 0.913 0.734
Zn 0.201 0.951 0.250
Zn 0.312 0.562 0.750
Zn 0.321 0.087 0.719
Zn 0.321 0.602 0.234
Zn 0.679 0.398 0.766
Zn 0.679 0.913 0.281
Zn 0.688 0.438 0.250
Zn 0.799 0.049 0.750
Zn 0.868 0.087 0.266
Zn 0.868 0.602 0.781
Au 0.000 0.500 0.500
Au 0.500 0.500 0.000

Summary:
- DFT formation energy: 0.111 eV per atom
- Size of the total moment: 2.102 μB per cell

***

## Ca2LaAl (PBE-GGA)

Data for a geometry-optimized Ca2LaAl structure.

Cell lengths 7.033, 7.033, 7.033 Å; angles 148.59, 132.33, 58.20 degrees
Fractional positions:
Ca 0.000 0.000 0.000
Ca 0.708 0.208 0.500
La 0.299 0.799 0.500
Al 0.504 0.504 0.000

Summary:
- DFT formation energy: -0.036 eV per atom
- Size of the total moment: 0.000 μB per cell

***

## Cs2K2Cd (PBE-GGA)

Data for a geometry-optimized Cs2K2Cd structure.

Cell lengths 13.443, 13.443, 13.443 Å; angles 156.22, 156.22, 33.88 degrees
Fractional positions:
Cs 0.086 0.086 0.000
Cs 0.914 0.914 0.000
K 0.250 0.750 0.500
K 0.750 0.250 0.500
Cd 0.500 0.500 0.000

Summary:
- DFT formation energy: 0.109 eV per atom
- Size of the total moment: 0.000 μB per cell

***

## Cu7Pd2Pt3 (PBE-GGA)

Data for a geometry-optimized Cu7Pd2Pt3 structure.

Cell lengths 11.834, 11.834, 3.757 Å; angles 90.00, 90.00, 160.51 degrees
Fractional positions:
Cu 0.000 0.000 0.000
Cu 0.075 0.925 0.500
Cu 0.274 0.726 0.000
Cu 0.424 0.576 0.000
Cu 0.576 0.424 0.000
Cu 0.726 0.274 0.000
Cu 0.925 0.075 0.500
Pd 0.157 0.843 0.000
Pd 0.843 0.157 0.000
Pt 0.349 0.651 0.500
Pt 0.500 0.500 0.500
Pt 0.651 0.349 0.500

Summary:
- DFT formation energy: 0.036 eV per atom
- Size of the total moment: 0.000 μB per cell

***

## FeReRu2 (PBE-GGA)

Data for a geometry-optimized FeReRu2 structure.

Cell lengths 2.688, 3.752, 5.370 Å; angles 90.00, 90.00, 90.00 degrees
Fractional positions:
Fe 0.000 0.000 0.000
Re 0.500 0.500 0.244
Ru 0.000 0.000 0.508
Ru 0.500 0.500 0.772

Summary:
- DFT formation energy: 0.104 eV per atom
- Size of the total moment: 1.268 μB per cell

***

## HfAlNi (PBE-GGA)

Data for a geometry-optimized HfAlNi structure.

Cell lengths 6.838, 6.838, 5.058 Å; angles 90.00, 90.00, 153.79 degrees
Fractional positions:
Hf 0.136 0.864 0.750
Hf 0.864 0.136 0.250
Al 0.349 0.651 0.750
Al 0.651 0.349 0.250
Ni 0.500 0.500 0.000
Ni 0.500 0.500 0.500

Summary:
- DFT formation energy: -0.155 eV per atom
- Size of the total moment: 0.000 μB per cell

***

## Ca2ScIn4 (PBE-GGA)

Data for a geometry-optimized Ca2ScIn4 structure.

Cell lengths 9.024, 9.024, 9.024 Å; angles 144.72, 144.72, 50.76 degrees
Fractional positions:
Ca 0.120 0.120 0.000
Ca 0.880 0.880 0.000
Sc 0.500 0.500 0.000
In 0.000 0.500 0.500
In 0.321 0.321 0.000
In 0.500 0.000 0.500
In 0.679 0.679 0.000

Summary:
- DFT formation energy: 0.039 eV per atom
- Size of the total moment: 1.088 μB per cell

***

## Tm3MgH (PBE-GGA)

Data for a geometry-optimized Tm3MgH structure.

Cell lengths 4.833, 4.833, 4.833 Å; angles 90.00, 90.00, 90.00 degrees
Fractional positions:
Tm 0.000 0.000 0.500
Tm 0.000 0.500 0.000
Tm 0.500 0.000 0.000
Mg 0.500 0.500 0.500
H 0.000 0.000 0.000

Summary:
- Size of the total moment: 0.737 μB per cell
- Energy: -3.790 eV per atom

***

Question: Which of these has the highest size of the total moment?
Answer: CeAlZn6Au